VASP calculation (PBE) on a geometry-optimized SmCo2Ni4 structure.

Output
Formation enthalpy at 0 K, eV per atom: -0.122
E_tot, eV per atom: -6.130
Size of the total moment, μB per cell: 4.6

Lattice parameters (Å, degrees): 5.0164 5.0164 5.0164 103.09 103.09 123.17
Fractional coordinates of all 7 atoms:
Sm (0.0000, 0.0000, 0.0000)
Co (0.2500, 0.7500, 0.5000)
Co (0.7500, 0.2500, 0.5000)
Ni (0.3056, 0.3056, 0.6112)
Ni (0.3056, 0.6944, 0.0000)
Ni (0.6944, 0.3056, 0.0000)
Ni (0.6944, 0.6944, 0.3888)

VASP calculation (PBE) on a geometry-optimized SmCoNi structure.

Output
Formation enthalpy at 0 K, eV per atom: 0.085
E_tot, eV per atom: -5.784
Size of the total moment, μB per cell: 2.9

Lattice parameters (Å, degrees): 3.3099 3.3099 9.3352 90.00 90.00 90.00
Fractional coordinates of all 6 atoms:
Sm (0.0000, 0.0000, 0.1872)
Sm (0.0000, 0.0000, 0.8128)
Co (0.0000, 0.0000, 0.5000)
Co (0.5000, 0.5000, 0.0000)
Ni (0.5000, 0.5000, 0.3764)
Ni (0.5000, 0.5000, 0.6236)

VASP calculation (PBE) on a geometry-optimized SmCoNi structure.

Output
Formation enthalpy at 0 K, eV per atom: -0.215
E_tot, eV per atom: -6.084
Size of the total moment, μB per cell: 1.8

Lattice parameters (Å, degrees): 5.1561 5.1561 5.1561 122.09 119.88 88.31
Fractional coordinates of all 6 atoms:
Sm (0.3724, 0.1224, 0.2500)
Sm (0.6276, 0.8776, 0.7500)
Co (0.0000, 0.0000, 0.5000)
Co (0.0000, 0.5000, 0.0000)
Ni (0.0000, 0.5000, 0.5000)
Ni (0.5000, 0.5000, 0.0000)

VASP calculation (PBE) on a geometry-optimized Sm4Co2Ni structure.

Output
Formation enthalpy at 0 K, eV per atom: -0.107
E_tot, eV per atom: -5.660
Size of the total moment, μB per cell: 0.0

Lattice parameters (Å, degrees): 6.9119 6.9119 7.0895 119.83 119.83 35.89
Fractional coordinates of all 7 atoms:
Sm (0.1145, 0.1145, 0.3148)
Sm (0.3541, 0.3541, 0.2094)
Sm (0.6459, 0.6459, 0.7906)
Sm (0.8855, 0.8855, 0.6852)
Co (0.2823, 0.2823, 0.7765)
Co (0.7177, 0.7177, 0.2235)
Ni (0.5000, 0.5000, 0.0000)

VASP calculation (PBE) on a geometry-optimized Sm4Co3Ni structure.

Output
Formation enthalpy at 0 K, eV per atom: -0.168
E_tot, eV per atom: -5.915
Size of the total moment, μB per cell: 0.7

Lattice parameters (Å, degrees): 3.9346 3.9812 10.8245 90.00 90.00 90.00
Fractional coordinates of all 8 atoms:
Sm (0.0000, 0.0000, 0.0000)
Sm (0.0000, 0.5000, 0.4972)
Sm (0.5000, 0.0000, 0.2817)
Sm (0.5000, 0.5000, 0.7804)
Co (0.0000, 0.0000, 0.6980)
Co (0.0000, 0.5000, 0.2048)
Co (0.5000, 0.0000, 0.5839)
Ni (0.5000, 0.5000, 0.0753)

VASP calculation (PBE) on a geometry-optimized Sm2CoNi structure.

Output
Formation enthalpy at 0 K, eV per atom: -0.208
E_tot, eV per atom: -5.789
Size of the total moment, μB per cell: 0.0

Lattice parameters (Å, degrees): 7.3818 7.3818 7.3818 31.02 31.02 31.02
Fractional coordinates of all 4 atoms:
Sm (0.0000, 0.0000, 0.0000)
Sm (0.1767, 0.1767, 0.1767)
Co (0.7554, 0.7554, 0.7554)
Ni (0.4215, 0.4215, 0.4215)

VASP calculation (PBE) on a geometry-optimized SmCoNiSn3 structure.

Output
Formation enthalpy at 0 K, eV per atom: -0.125
E_tot, eV per atom: -5.061
Size of the total moment, μB per cell: 0.0

Lattice parameters (Å, degrees): 6.6647 6.6647 7.0268 90.00 90.00 119.86
Fractional coordinates of all 12 atoms:
Sm (0.2481, 0.7519, 0.7500)
Sm (0.7519, 0.2481, 0.2500)
Co (0.4220, 0.5780, 0.2500)
Co (0.5780, 0.4220, 0.7500)
Ni (0.0033, 0.9967, 0.7500)
Ni (0.9967, 0.0033, 0.2500)
Sn (0.2136, 0.7864, 0.2500)
Sn (0.2665, 0.2665, 0.0000)
Sn (0.2665, 0.2665, 0.5000)
Sn (0.7335, 0.7335, 0.0000)
Sn (0.7335, 0.7335, 0.5000)
Sn (0.7864, 0.2136, 0.7500)

VASP calculation (PBE) on a geometry-optimized SmThCoNi structure.

Output
Formation enthalpy at 0 K, eV per atom: -0.335
E_tot, eV per atom: -6.592
Size of the total moment, μB per cell: 0.0

Lattice parameters (Å, degrees): 4.0481 5.8591 5.8591 37.04 90.00 90.00
Fractional coordinates of all 4 atoms:
Sm (0.0000, 0.0000, 0.0000)
Th (0.5000, 0.2701, 0.2701)
Co (0.0000, 0.7316, 0.7316)
Ni (0.5000, 0.5662, 0.5662)

VASP calculation (PBE) on a geometry-optimized SmYCo2Ni2 structure.

Output
Formation enthalpy at 0 K, eV per atom: -0.247
E_tot, eV per atom: -6.407
Size of the total moment, μB per cell: 1.9

Lattice parameters (Å, degrees): 5.1335 5.1335 5.1335 122.03 119.98 88.28
Fractional coordinates of all 6 atoms:
Sm (0.0000, 0.0000, 0.0000)
Y (0.7447, 0.2447, 0.5000)
Co (0.3726, 0.1227, 0.7501)
Co (0.3726, 0.6225, 0.2499)
Ni (0.3729, 0.6221, 0.7508)
Ni (0.8713, 0.6221, 0.2492)

VASP calculation (PBE) on a geometry-optimized SmYCoNi structure.

Output
Formation enthalpy at 0 K, eV per atom: -0.257
E_tot, eV per atom: -6.275
Size of the total moment, μB per cell: 0.0

Lattice parameters (Å, degrees): 3.9689 5.6552 5.6552 40.43 90.00 90.00
Fractional coordinates of all 4 atoms:
Sm (0.0000, 0.0000, 0.0000)
Y (0.5000, 0.2834, 0.2834)
Co (0.0000, 0.7125, 0.7125)
Ni (0.5000, 0.5790, 0.5790)

VASP calculation (PBE) on a geometry-optimized SmYCo4Ni6 structure.

Output
Formation enthalpy at 0 K, eV per atom: -0.165
E_tot, eV per atom: -6.356
Size of the total moment, μB per cell: 8.0

Lattice parameters (Å, degrees): 3.9776 4.9135 8.5129 90.00 90.00 90.00
Fractional coordinates of all 12 atoms:
Sm (0.0000, 0.0000, 0.0000)
Y (0.0000, 0.5000, 0.5000)
Co (0.0000, 0.0000, 0.3347)
Co (0.0000, 0.0000, 0.6653)
Co (0.0000, 0.5000, 0.1692)
Co (0.0000, 0.5000, 0.8308)
Ni (0.5000, 0.0000, 0.5000)
Ni (0.5000, 0.2511, 0.2518)
Ni (0.5000, 0.2511, 0.7482)
Ni (0.5000, 0.5000, 0.0000)
Ni (0.5000, 0.7489, 0.2518)
Ni (0.5000, 0.7489, 0.7482)

VASP calculation (PBE) on a geometry-optimized Sm2ZnCo3Ni12 structure.

Output
Formation enthalpy at 0 K, eV per atom: 0.088
E_tot, eV per atom: -5.546
Size of the total moment, μB per cell: 8.3

Lattice parameters (Å, degrees): 6.2507 6.2507 6.2507 83.53 83.53 83.53
Fractional coordinates of all 18 atoms:
Sm (0.2290, 0.2290, 0.2290)
Sm (0.7710, 0.7710, 0.7710)
Zn (0.5000, 0.5000, 0.5000)
Co (0.0000, 0.5000, 0.5000)
Co (0.5000, 0.0000, 0.5000)
Co (0.5000, 0.5000, 0.0000)
Ni (0.0787, 0.0787, 0.6498)
Ni (0.0787, 0.6498, 0.0787)
Ni (0.2263, 0.6994, 0.6994)
Ni (0.3006, 0.3006, 0.7737)
Ni (0.3006, 0.7737, 0.3006)
Ni (0.3502, 0.9213, 0.9213)
Ni (0.6498, 0.0787, 0.0787)
Ni (0.6994, 0.2263, 0.6994)
Ni (0.6994, 0.6994, 0.2263)
Ni (0.7737, 0.3006, 0.3006)
Ni (0.9213, 0.3502, 0.9213)
Ni (0.9213, 0.9213, 0.3502)

Q: formation enthalpy at 0 K of number 9 (SmYCo2Ni2)?
A: -0.247 eV per atom